1.
The following is a PBE calculation of a relaxed structure of Ti3CoS6, from Alexandria via LeMat-Bulk.

Lattice parameters (Å, degrees): 7.6511 7.6511 5.8105 90.00 90.00 101.09
Atoms (fractional coordinates):
Ti 0.1007 0.8993 0.5000
Ti 0.2269 0.4311 0.3882
Ti 0.4311 0.2269 0.8882
Ti 0.5689 0.7731 0.3882
Ti 0.7731 0.5689 0.8882
Ti 0.8993 0.1007 0.0000
Co 0.2915 0.7085 0.8300
Co 0.7085 0.2915 0.3300
S 0.0459 0.5983 0.6467
S 0.1303 0.1988 0.6966
S 0.1988 0.1303 0.1966
S 0.2726 0.7274 0.2118
S 0.4017 0.9541 0.6467
S 0.4653 0.5347 0.7025
S 0.5347 0.4653 0.2025
S 0.5983 0.0459 0.1467
S 0.7274 0.2726 0.7118
S 0.8012 0.8697 0.6966
S 0.8697 0.8012 0.1966
S 0.9541 0.4017 0.1467

Output
Space group   No. 36
DOS(E_F)   8.1 states/eV/cell
ΔE_f (raw)   -1.0194 eV/atom

2.
The following is a PBE calculation of a relaxed structure of YTiN2F, from Alexandria via LeMat-Bulk.

Lattice parameters (Å, degrees): 4.0231 4.0231 3.7955 90.00 90.00 90.00
Atoms (fractional coordinates):
Y 0.0000 0.0000 0.0000
Ti 0.5000 0.5000 0.5000
N 0.0000 0.5000 0.5000
N 0.5000 0.0000 0.5000
F 0.5000 0.5000 0.0000

Output
Space group   No. 123
DOS(E_F)   0.8 states/eV/cell
ΔE_f (raw)   -1.6979 eV/atom
Energy above the lowest structure with this stoichiometry   0.00 eV/f.u.

3.
The following is a PBE calculation of a relaxed structure of Sn2MoOs, from Alexandria via LeMat-Bulk.

Lattice parameters (Å, degrees): 6.0776 6.0776 6.0776 102.22 102.22 125.21
Atoms (fractional coordinates):
Sn 0.1020 0.1250 0.4770
Sn 0.3750 0.8980 0.0230
Sn 0.6480 0.6250 0.5230
Sn 0.8750 0.3520 0.9770
Mo 0.2500 0.7500 0.5000
Mo 0.5000 0.5000 0.0000
Os 0.0000 0.0000 0.0000
Os 0.7500 0.2500 0.5000

Output
Space group   No. 122
DOS(E_F)   7.1 states/eV/cell
Energy above the lowest structure with this stoichiometry   2.00 eV/f.u.

Number 1: raw total energy -131.5 eV for the cell shown. Number 2: raw total energy -41.4 eV for the cell shown. Number 3: raw total energy -52.7 eV for the cell shown.